An optimized crystal structure of HoCoAsO, computed with PBE+U.

Cell: 4.3180 6.0367 5.8192 Å, 90.00 90.00 90.00°
Fractional coordinates of all 8 atoms:
1 Co 0.5000 0.6149 0.5491
2 As 0.0000 0.7602 0.4058
3 O 0.5000 0.3225 0.3924
4 As 0.0000 0.2398 0.9058
5 Ho 0.0000 0.7641 0.9067
6 Ho 0.0000 0.2359 0.4067
7 O 0.5000 0.6775 0.8924
8 Co 0.5000 0.3851 0.0491

The value obtained for the total energy is -6.20 eV per atom. For the magnetization, the calculation gives 6.0 μB/cell.